Entry 1:
The following is a PBE calculation of a geometry-optimized Sc4Se3O structure, from Alexandria.

Lattice parameters (Å, degrees): 9.015 7.217 5.229 90.00 90.00 90.00
Space group Pmn2_1 (No. 31)
Symmetry-distinct sites (fractional):
1 Sc 0.000 0.132 0.000 [2 per cell]
2 Sc 0.000 0.855 0.492 [2 per cell]
3 Sc 0.215 0.246 0.489 [4 per cell]
4 Se 0.000 0.767 0.993 [2 per cell]
5 Se 0.236 0.356 0.990 [4 per cell]
6 O 0.000 0.146 0.475 [2 per cell]

* calculated total energy: -109.19 eV/cell


Entry 2:
The following is a PBE calculation of a geometry-optimized ScSeO2 structure, from Alexandria.

Lattice parameters (Å, degrees): 5.797 5.797 5.797 90.00 90.00 90.00
Space group Fm-3m (No. 225)
Symmetry-distinct sites (fractional):
1 Sc 0.000 0.000 0.000 [4 per cell]
2 Se 0.000 0.000 0.500 [4 per cell]
3 O 0.250 0.250 0.250 [8 per cell]

* energy relative to the lowest polymorph listed for this composition: 1178 meV/atom


Entry 3:
The following is a PBE calculation of a geometry-optimized SmScSeO2 structure, from Alexandria.

Lattice parameters (Å, degrees): 6.620 4.029 7.511 90.00 112.82 90.00
Space group P2_1/m (No. 11)
Symmetry-distinct sites (fractional):
1 Sm 0.192 0.250 0.439 [2 per cell]
2 Sc 0.149 0.250 0.934 [2 per cell]
3 Se 0.476 0.750 0.745 [2 per cell]
4 O 0.007 0.750 0.361 [2 per cell]
5 O 0.036 0.750 0.902 [2 per cell]

* calculated total energy: -78.75 eV/cell


Entry 4:
The following is a PBE calculation of a geometry-optimized Sm2ScSe2O2 structure, from Alexandria.

Lattice parameters (Å, degrees): 4.116 4.116 15.293 90.00 90.00 90.00
Space group I4/mmm (No. 139)
Symmetry-distinct sites (fractional):
1 Sm 0.000 0.000 0.122 [4 per cell]
2 Sc 0.000 0.000 0.500 [2 per cell]
3 Se 0.000 0.000 0.322 [4 per cell]
4 O 0.000 0.500 0.000 [4 per cell]

* calculated total energy: -100.08 eV/cell


Entry 5:
The following is a PBE calculation of a geometry-optimized SrScSe2O8 structure, from Alexandria.

Lattice parameters (Å, degrees): 5.6451 5.6451 7.1554 90.00 90.00 120.00
Space group P-3m1 (No. 164)
Symmetry-distinct sites (fractional):
1 Sr 0.0000 0.0000 0.0000 [1 per cell]
2 Sc 0.0000 0.0000 0.5000 [1 per cell]
3 Se 0.3333 0.6667 0.7584 [2 per cell]
4 O 0.1600 0.3201 0.6975 [6 per cell]
5 O 0.3333 0.6667 0.9908 [2 per cell]

* calculated total energy: -73.95 eV/cell


Entry 6:
The following is a PBE calculation of a geometry-optimized SrScSeO6 structure, from Alexandria.

Lattice parameters (Å, degrees): 5.2966 5.2966 5.2743 90.00 90.00 120.00
Space group P312 (No. 149)
Symmetry-distinct sites (fractional):
1 Sr 0.0000 0.0000 0.0000 [1 per cell]
2 Sc 0.6667 0.3333 0.5000 [1 per cell]
3 Se 0.3333 0.6667 0.5000 [1 per cell]
4 O 0.0414 0.3958 0.6972 [6 per cell]

* calculated total energy: -57.98 eV/cell